The following is a DFT calculation (GGA-PBE) of a relaxed NdDyHoZn crystal.

Computed properties:
The energy relative to the elements comes out at -164 meV per atom. The distance to the lowest polymorph of the same formula comes out at 0.000 eV per formula unit.

```
NdDyHoZn
1.0
3.584 0.000 0.000
0.000 3.584 0.000
0.000 0.000 8.709
Nd Dy Ho Zn
1 1 1 1
direct
0.000 0.000 0.000
0.500 0.500 0.701
0.500 0.500 0.297
0.000 0.000 0.498
```

The following is a DFT calculation (GGA-PBE) of a relaxed CeCd2Hg6 crystal.

Computed properties:
The energy relative to the elements comes out at -88 meV per atom. The distance to the lowest polymorph of the same formula comes out at 0.409 eV per formula unit.

```
CeCd2Hg6
1.0
7.839 -4.548 0.000
7.839 4.548 0.000
-0.596 0.000 3.121
Ce Cd Hg
1 2 6
direct
0.000 0.000 0.000
0.348 0.348 0.854
0.652 0.652 0.146
0.005 0.342 0.667
0.329 0.671 0.500
0.342 0.005 0.667
0.658 0.995 0.333
0.671 0.329 0.500
0.995 0.658 0.333
```

The following is a DFT calculation (GGA-PBE) of a relaxed Rb3Ce2AuS6 crystal.

Computed properties:
The formation energy from raw total energies comes out at -1.35 eV per atom.

```
Rb3Ce2AuS6
1.0
3.454 -6.681 0.000
3.454 6.681 0.000
-1.902 0.000 7.540
Rb Ce Au S
3 2 1 6
direct
0.000 0.000 0.000
0.354 0.646 0.000
0.646 0.354 0.000
0.167 0.833 0.500
0.833 0.167 0.500
0.500 0.500 0.500
0.042 0.441 0.287
0.242 0.242 0.660
0.441 0.042 0.287
0.559 0.958 0.713
0.758 0.758 0.340
0.958 0.559 0.713
```

The following is a DFT calculation (GGA-PBE) of a relaxed PIrSO2 crystal.

Computed properties:
The formation energy from raw total energies comes out at -0.08 eV per atom.

```
PIrSO2
1.0
3.690 0.000 0.000
0.000 3.690 0.000
0.000 0.000 5.455
P Ir S O
1 1 1 2
direct
0.000 0.000 0.000
0.000 0.000 0.500
0.500 0.500 0.000
0.000 0.500 0.500
0.500 0.000 0.500
```

Per-record spin magnetization, μB/atom: 0.0000 0.1582 0.0000 0.0000